w.
Here is a relaxed structure of MnCoRu2 from Alexandria. Energies are from PBE.

Values from the calculation:
M_tot (μB/f.u.): 5.50
Calculated volume (Å³/atom): 13.282
Space-group type: Cmmm, No. 65

Unit cell a=2.6230 b=2.6230 c=8.4515 alpha=90.00 beta=90.00 gamma=113.98
Last column: nearest neighbours and their distance in Å.
Fractional positions:
Ru 0.0000 0.0000 0.5014  2 Mn 2.54, 2 Co 2.56, 4 Ru 2.62
Ru 0.0000 0.0000 0.9986  2 Mn 2.54, 2 Co 2.56, 4 Ru 2.62
Co 0.5000 0.5000 0.2500  4 Ru 2.56, 6 Co 2.62-2.86
Mn 0.5000 0.5000 0.7500  4 Ru 2.54, 4 Mn 2.62

***

x.
Here is a relaxed structure of MnCoRu2 from Alexandria. Energies are from PBE.

Values from the calculation:
M_tot (μB/f.u.): 0.39
Calculated volume (Å³/atom): 12.570
Space-group type: P2/m, No. 10

Unit cell a=3.6181 b=2.6288 c=5.9071 alpha=63.49 beta=90.00 gamma=90.00
Last column: nearest neighbours and their distance in Å.
Fractional positions:
Mn 0.5000 0.7500 0.7500  8 Ru 2.60, 2 Mn 2.63, 2 Co 2.64
Ru 0.0000 0.9976 0.0024  4 Co 2.59, 4 Mn 2.60, 4 Ru 2.62-2.67
Co 0.5000 0.2500 0.2500  8 Ru 2.59, 2 Co 2.63, 2 Mn 2.64
Ru 0.0000 0.5024 0.4976  4 Co 2.59, 4 Mn 2.60, 4 Ru 2.62-2.67

***

y.
Here is a relaxed structure of MnCoRu2 from Alexandria. Energies are from PBE.

Values from the calculation:
M_tot (μB/f.u.): 4.63
Calculated volume (Å³/atom): 12.929
Space-group type: Imm2, No. 44

Unit cell a=4.9214 b=4.9214 c=4.9214 alpha=145.46 beta=129.32 gamma=62.78
Last column: nearest neighbours and their distance in Å.
Fractional positions:
Ru 0.7425 0.2425 0.5000  4 Mn 2.57, 2 Co 2.60, 4 Ru 2.69-2.87
Co 0.4869 0.4869 0.0000  2 Mn 2.40, 6 Ru 2.57-2.60
Mn 0.2599 0.7599 0.5000  2 Co 2.40, 6 Ru 2.55-2.57
Ru 0.0107 0.0107 0.0000  2 Mn 2.55, 4 Co 2.57, 2 Ru 2.69

***

z.
Here is a relaxed structure of MnCoRu2 from Alexandria. Energies are from PBE.

Values from the calculation:
M_tot (μB/f.u.): 1.55
Calculated volume (Å³/atom): 12.730
Space-group type: P2/m, No. 10

Unit cell a=2.6446 b=4.5741 c=5.2032 alpha=54.00 beta=90.00 gamma=90.00
Last column: nearest neighbours and their distance in Å.
Fractional positions:
Mn 0.0000 0.0000 0.5000  6 Ru 2.60, 4 Co 2.64, 2 Mn 2.64
Ru 0.0000 0.0000 0.0000  4 Co 2.60, 2 Mn 2.60, 6 Ru 2.64
Co 0.5000 0.5000 0.5000  6 Ru 2.60, 4 Mn 2.64, 2 Co 2.64
Ru 0.5000 0.5000 0.0000  4 Mn 2.60, 2 Co 2.60, 6 Ru 2.64

***

Result of the stability comparison: z is the most stable of them.